Arrangement i

{"formula": "TlNi2Pd", "functional": "PBE", "state": "relaxed", "spacegroup": "No. 122", "lattice": [[-1.914, 1.914, 9.159], [1.914, -1.914, 9.159], [1.914, 1.914, -9.159]], "species": ["Tl", "Tl", "Ni", "Ni", "Ni", "Ni", "Pd", "Pd"], "fractional_positions": [[0.000, 0.000, 0.000], [0.750, 0.250, 0.500], [0.171, 0.625, 0.046], [0.375, 0.421, 0.546], [0.579, 0.125, 0.954], [0.875, 0.829, 0.454], [0.250, 0.750, 0.500], [0.500, 0.500, 0.000]]}

---

Arrangement ii

{"formula": "TlNi2Pd", "functional": "PBE", "state": "relaxed", "spacegroup": "No. 225", "lattice": [[0.000, 3.089, 3.089], [3.089, 0.000, 3.089], [3.089, 3.089, 0.000]], "species": ["Tl", "Ni", "Ni", "Pd"], "fractional_positions": [[0.000, 0.000, 0.000], [0.250, 0.250, 0.250], [0.750, 0.750, 0.750], [0.500, 0.500, 0.500]]}

---

arrangement ii wins, 29.9 kJ/mol of atoms ahead of the next structure.

---

Arrangement i

{"formula": "Tl2NiPd", "functional": "PBE", "state": "relaxed", "spacegroup": "No. 225", "lattice": [[0.000, 3.339, 3.339], [3.339, 0.000, 3.339], [3.339, 3.339, 0.000]], "species": ["Tl", "Tl", "Ni", "Pd"], "fractional_positions": [[0.250, 0.250, 0.250], [0.750, 0.750, 0.750], [0.000, 0.000, 0.000], [0.500, 0.500, 0.500]]}

---

Arrangement ii

{"formula": "Tl2NiPd", "functional": "PBE", "state": "relaxed", "spacegroup": "No. 122", "lattice": [[-3.047, 3.047, 6.056], [3.047, -3.047, 6.056], [3.047, 3.047, -6.056]], "species": ["Tl", "Tl", "Tl", "Tl", "Ni", "Ni", "Pd", "Pd"], "fractional_positions": [[0.103, 0.625, 0.978], [0.375, 0.353, 0.478], [0.647, 0.125, 0.022], [0.875, 0.897, 0.522], [0.000, 0.000, 0.000], [0.750, 0.250, 0.500], [0.250, 0.750, 0.500], [0.500, 0.500, 0.000]]}

---

arrangement i wins, 36.3 kJ/mol of atoms ahead of the next structure.

---

Arrangement i

{"formula": "Tm8Ni2Pd", "functional": "PBE", "state": "relaxed", "spacegroup": "No. 12", "lattice": [[8.529, -2.467, 0.000], [8.529, 2.467, 0.000], [-1.788, 0.000, 6.305]], "species": ["Tm", "Tm", "Tm", "Tm", "Tm", "Tm", "Tm", "Tm", "Ni", "Ni", "Pd"], "fractional_positions": [[0.036, 0.036, 0.284], [0.202, 0.202, 0.832], [0.327, 0.327, 0.517], [0.407, 0.407, 0.040], [0.593, 0.593, 0.960], [0.673, 0.673, 0.483], [0.798, 0.798, 0.168], [0.964, 0.964, 0.716], [0.185, 0.185, 0.225], [0.815, 0.815, 0.775], [0.500, 0.500, 0.500]]}

---

Arrangement ii

{"formula": "Tm8Ni2Pd", "functional": "PBE", "state": "relaxed", "spacegroup": "No. 8", "lattice": [[4.099, -6.228, 0.000], [4.099, 6.228, 0.000], [-1.685, 0.000, 5.407]], "species": ["Tm", "Tm", "Tm", "Tm", "Tm", "Tm", "Tm", "Tm", "Ni", "Ni", "Pd"], "fractional_positions": [[0.000, 0.000, 0.000], [0.032, 0.292, 0.584], [0.145, 0.593, 0.182], [0.292, 0.032, 0.584], [0.447, 0.707, 0.774], [0.593, 0.145, 0.182], [0.707, 0.447, 0.774], [0.738, 0.738, 0.365], [0.064, 0.675, 0.683], [0.675, 0.064, 0.683], [0.370, 0.370, 0.292]]}

---

arrangement i wins, 7.9 kJ/mol of atoms ahead of the next structure.

---

Arrangement i

{"formula": "Tm4NiPd", "functional": "PBE", "state": "relaxed", "spacegroup": "No. 109", "lattice": [[-4.581, 4.581, 3.986], [4.581, -4.581, 3.986], [4.581, 4.581, -3.986]], "species": ["Tm", "Tm", "Tm", "Tm", "Tm", "Tm", "Tm", "Tm", "Ni", "Ni", "Pd", "Pd"], "fractional_positions": [[0.198, 0.000, 0.198], [0.230, 0.524, 0.294], [0.230, 0.937, 0.706], [0.274, 0.480, 0.794], [0.687, 0.480, 0.206], [0.750, 0.052, 0.302], [0.750, 0.448, 0.698], [0.802, 0.000, 0.802], [0.243, 0.243, 0.000], [0.993, 0.493, 0.500], [0.486, 0.986, 0.500], [0.736, 0.736, 0.000]]}

---

Arrangement ii

{"formula": "Tm4NiPd", "functional": "PBE", "state": "relaxed", "spacegroup": "No. 140", "lattice": [[-3.340, 3.340, 6.410], [3.340, -3.340, 6.410], [3.340, 3.340, -6.410]], "species": ["Tm", "Tm", "Tm", "Tm", "Tm", "Tm", "Tm", "Tm", "Ni", "Ni", "Pd", "Pd"], "fractional_positions": [[0.047, 0.547, 0.861], [0.186, 0.047, 0.500], [0.314, 0.814, 0.861], [0.453, 0.314, 0.500], [0.547, 0.686, 0.500], [0.686, 0.186, 0.139], [0.814, 0.953, 0.500], [0.953, 0.453, 0.139], [0.250, 0.250, 0.000], [0.750, 0.750, 0.000], [0.000, 0.000, 0.000], [0.500, 0.500, 0.000]]}

---

arrangement ii wins, 8.5 kJ/mol of atoms ahead of the next structure.